LaAl2GeH2: optimized geometry, PBE.

Summary:
**Fermi-level density of states**: 0.2603 states/eV/atom
**M_tot**: 0.00 μB per cell
**V**: 191 Å³ per cell
**VASP energy**: -4.2050 eV per atom

```
LaAl2GeH2
1.0
5.7397 0.0000 0.0000
0.0000 6.2184 -0.6762
0.0000 -2.8996 5.6804
H Al La Ge
4 4 2 2
Direct
0.7500 0.8146 0.6317
0.2500 0.5438 0.4412
0.2500 0.1854 0.3683
0.7500 0.4562 0.5588
0.0057 0.7275 0.7458
0.9943 0.2725 0.2542
0.5057 0.2725 0.2542
0.4943 0.7275 0.7458
0.7500 0.2444 0.7614
0.2500 0.7556 0.2386
0.2500 0.1351 0.8454
0.7500 0.8649 0.1546
```



Li2AlGeH: optimized geometry, PBE.

Summary:
**Fermi-level density of states**: 0.1946 states/eV/atom
**M_tot**: 0.00 μB per cell
**V**: 63 Å³ per cell
**VASP energy**: -3.3377 eV per atom

```
Li2AlGeH
1.0
3.8440 0.0000 0.0000
0.0000 3.8440 0.0000
0.0000 0.0000 4.2686
Li Al Ge H
2 1 1 1
Direct
0.5000 0.0000 0.0000
0.0000 0.5000 0.0000
0.0000 0.0000 0.5000
0.5000 0.5000 0.5000
0.0000 0.0000 0.0000
```



Mn4AlGeH: optimized geometry, PBE.

Summary:
**Fermi-level density of states**: 0.5945 states/eV/atom
**M_tot**: 18.79 μB per cell
**V**: 167 Å³ per cell
**VASP energy**: -6.9433 eV per atom

```
Mn4AlGeH
1.0
-2.5543 -1.7127 -4.0455
4.4011 -0.7010 -2.4820
1.6284 -5.1367 4.3382
Al H Mn Ge
2 2 8 2
Direct
0.6091 0.7500 0.2182
0.3909 0.2500 0.7818
0.7702 0.2500 0.5405
0.2298 0.7500 0.4595
0.5848 0.2500 0.1696
0.0000 0.0000 0.5000
0.9218 0.2500 0.8437
0.0000 0.5000 0.5000
0.0782 0.7500 0.1563
0.5000 0.0000 0.5000
0.5000 0.5000 0.5000
0.4152 0.7500 0.8304
0.8873 0.7500 0.7746
0.1127 0.2500 0.2254
```



AlNi4GeH: optimized geometry, PBE.

Summary:
**Fermi-level density of states**: 0.6165 states/eV/atom
**M_tot**: 0.00 μB per cell
**V**: 154 Å³ per cell
**VASP energy**: -5.1981 eV per atom

```
AlNi4GeH
1.0
5.0449 0.0000 0.0000
0.0000 5.0597 0.0000
-2.5225 0.0000 6.0515
Al H Ge Ni
2 2 2 8
Direct
0.3963 0.2500 0.7927
0.6037 0.7500 0.2073
0.2479 0.7500 0.4957
0.7521 0.2500 0.5043
0.8940 0.7500 0.7880
0.1060 0.2500 0.2120
0.5919 0.2500 0.1838
0.0000 0.0000 0.5000
0.0000 0.5000 0.5000
0.9127 0.2500 0.8255
0.5000 0.5000 0.5000
0.5000 0.0000 0.5000
0.4081 0.7500 0.8162
0.0873 0.7500 0.1745
```



NpAlGeH: optimized geometry, PBE.

Summary:
**Fermi-level density of states**: 1.8176 states/eV/atom
**M_tot**: 8.95 μB per cell
**V**: 124 Å³ per cell
**VASP energy**: -6.3895 eV per atom

```
NpAlGeH
1.0
4.0840 0.0000 0.0000
0.0000 4.0840 0.0000
0.0000 0.0000 7.4222
Np Ge Al H
2 2 2 2
Direct
0.5000 0.0000 0.1413
0.0000 0.5000 0.8587
0.5000 0.0000 0.7264
0.0000 0.5000 0.2736
0.0000 0.0000 0.5000
0.5000 0.5000 0.5000
0.5000 0.5000 0.0000
0.0000 0.0000 0.0000
```



PrAlGeH: optimized geometry, PBE.

Summary:
**Fermi-level density of states**: 0.3875 states/eV/atom
**M_tot**: 0.00 μB per cell
**V**: 140 Å³ per cell
**VASP energy**: -4.6289 eV per atom

```
PrAlGeH
1.0
-3.0053 -2.7271 -0.3300
1.9662 -1.7939 -3.0812
3.9875 -5.0586 5.4898
Ge Pr Al H
2 2 2 2
Direct
0.0000 0.5000 0.2969
0.5000 0.0000 0.7031
0.5000 0.0000 0.1619
0.0000 0.5000 0.8381
0.0000 0.0000 0.5000
0.5000 0.5000 0.5000
0.5000 0.5000 0.0000
0.0000 0.0000 0.0000
```



Rb2Al2Ge2H: optimized geometry, PBE.

Summary:
**Fermi-level density of states**: 0.3555 states/eV/atom
**M_tot**: 0.00 μB per cell
**V**: 185 Å³ per cell
**VASP energy**: -3.2265 eV per atom

```
Rb2Al2Ge2H
1.0
4.2164 -0.0007 -0.0007
2.1095 7.1220 2.1460
0.0002 4.2147 7.4190
Ge Rb Al H
2 2 2 1
Direct
0.8008 0.3983 0.3740
0.1992 0.6017 0.6260
0.4334 0.1331 0.2073
0.5666 0.8669 0.7927
0.1753 0.6496 0.2966
0.8247 0.3504 0.7034
0.0000 0.0000 0.0000
```



AlGeHS2: optimized geometry, PBE.

Summary:
**Fermi-level density of states**: 0.3669 states/eV/atom
**M_tot**: 0.00 μB per cell
**V**: 75 Å³ per cell
**VASP energy**: -3.6768 eV per atom

```
AlGeHS2
1.0
4.7695 0.0000 0.0000
0.0000 3.2853 0.0000
0.0000 0.0000 4.7695
H S Ge Al
1 2 1 1
Direct
0.0000 0.0000 0.0000
0.0000 0.0000 0.5000
0.5000 0.0000 0.0000
0.5000 0.5000 0.5000
0.0000 0.5000 0.0000
```



SrAlGeH: optimized geometry, PBE.

Summary:
**M_tot**: 0.00 μB per cell
**V**: 78 Å³ per cell
**VASP energy**: -3.8645 eV per atom

```
SrAlGeH
1.0
4.2663 0.0000 0.0000
2.1331 3.6947 0.0000
0.0000 0.0000 4.9666
Al Sr H Ge
1 1 1 1
Direct
0.6667 0.6667 0.4465
0.0000 0.0000 0.9908
0.6667 0.6667 0.0940
0.3333 0.3333 0.5498
```



SrAlGeH2: optimized geometry, PBE.

Summary:
**Fermi-level density of states**: 0.1685 states/eV/atom
**M_tot**: 0.00 μB per cell
**V**: 151 Å³ per cell
**VASP energy**: -3.6569 eV per atom

```
SrAlGeH2
1.0
4.2254 0.0000 0.0000
-2.1127 5.6925 0.0000
0.0000 0.0000 6.2635
Sr Ge Al H
2 2 2 4
Direct
0.7165 0.4331 0.7500
0.2835 0.5669 0.2500
0.4409 0.8818 0.7500
0.5591 0.1182 0.2500
0.0000 0.0000 0.0000
0.0000 0.0000 0.5000
0.1517 0.3033 0.5617
0.8483 0.6967 0.0617
0.1517 0.3033 0.9383
0.8483 0.6967 0.4383
```



SrAl2GeH2: optimized geometry, PBE.

Summary:
**Fermi-level density of states**: 0.1954 states/eV/atom
**M_tot**: 0.00 μB per cell
**V**: 204 Å³ per cell
**VASP energy**: -3.5489 eV per atom

```
SrAl2GeH2
1.0
-3.2251 4.5212 1.5181
-4.2443 -1.4384 -4.7328
-0.2199 -2.2707 6.2953
Al H Sr Ge
4 4 2 2
Direct
0.0070 0.2668 0.2558
0.4930 0.2668 0.2558
0.9930 0.7332 0.7442
0.5070 0.7332 0.7442
0.2500 0.5332 0.4310
0.7500 0.4668 0.5690
0.2500 0.1794 0.3623
0.7500 0.8206 0.6377
0.2500 0.7498 0.2426
0.7500 0.2502 0.7574
0.7500 0.8818 0.1489
0.2500 0.1182 0.8511
```



Sr2AlGeH: optimized geometry, PBE.

Summary:
**Fermi-level density of states**: 0.1553 states/eV/atom
**M_tot**: 0.00 μB per cell
**V**: 247 Å³ per cell
**VASP energy**: -3.4800 eV per atom

```
Sr2AlGeH
1.0
-1.3895 3.2693 2.3993
-5.6977 -2.5787 0.2140
5.8292 -3.0244 7.4969
Ge Sr H Al
2 4 2 2
Direct
0.2500 0.6225 0.2949
0.7500 0.3775 0.7051
0.2500 0.2202 0.9211
0.7500 0.7880 0.5660
0.7500 0.7798 0.0789
0.2500 0.2120 0.4340
0.2500 0.8306 0.7076
0.7500 0.1694 0.2924
0.7500 0.3660 0.2031
0.2500 0.6340 0.7969
```



> Which of these has the lowest V?

Li2AlGeH